1.
Density functional theory data (meta-GGA SCAN) for a crystal of TaAgIr relaxed with PBEsol.

Results
Size of the total moment in μB per formula unit: 0.00
DFT formation energy in eV/atom: 0.208

Cell: 4.3078 4.3078 4.3078 Å, 60.00 60.00 60.00°
Closest atoms and distances in Å follow each position.
Atoms (fractional coordinates):
Ta (0.0000, 0.0000, 0.0000)  4 Ir 2.64
Ag (0.5000, 0.5000, 0.5000)  4 Ir 2.64
Ir (0.2500, 0.2500, 0.2500)  4 Ta 2.64, 4 Ag 2.64

=====

2.
Density functional theory data (meta-GGA SCAN) for a crystal of SrCaCo2 relaxed with PBEsol.

Results
Polymorph energy (0 for the lowest one) in eV/atom: 0.0061
Size of the total moment in μB per formula unit: 2.65
DFT formation energy in eV/atom: 0.573

Cell: 4.9070 4.9070 4.9070 Å, 120.14 120.14 89.75°
Closest atoms and distances in Å follow each position.
Atoms (fractional coordinates):
Sr (0.0000, 0.0000, 0.0000)  8 Co 3.00
Ca (0.5000, 0.5000, 0.0000)  8 Co 3.00
Co (0.2500, 0.7500, 0.5000)  4 Ca 3.00, 4 Sr 3.00
Co (0.7500, 0.2500, 0.5000)  4 Ca 3.00, 4 Sr 3.00

=====

3.
Density functional theory data (meta-GGA SCAN) for a crystal of Cr2IrPt relaxed with PBEsol.

Results
Size of the total moment in μB per formula unit: 0.01
DFT formation energy in eV/atom: -0.354

Cell: 2.6429 4.1920 4.6258 Å, 90.00 90.00 90.00°
Closest atoms and distances in Å follow each position.
Atoms (fractional coordinates):
Cr (0.0000, 0.0000, 0.0000)  4 Cr 2.56-2.64, 4 Ir 2.58, 4 Pt 2.60-2.73
Cr (0.0000, 0.5000, 0.3193)  4 Cr 2.56-2.64, 4 Ir 2.57-2.76, 4 Pt 2.59
Ir (0.5000, 0.5000, 0.8428)  8 Cr 2.57-2.76, 2 Ir 2.64, 2 Pt 2.68
Pt (0.5000, 0.0000, 0.4834)  8 Cr 2.59-2.73, 2 Pt 2.64, 2 Ir 2.68

=====

4.
Density functional theory data (meta-GGA SCAN) for a crystal of HgN2F2 relaxed with PBEsol.

Results
Energy relative to the elements, uncorrected in eV/f.u.: 6.737
Size of the total moment in μB per formula unit: 4.77

Cell: 4.2701 4.2701 4.2900 Å, 90.00 90.00 90.00°
Closest atoms and distances in Å follow each position.
Atoms (fractional coordinates):
Hg (0.0000, 0.0000, 0.0000)  4 N 2.14, 2 F 2.14
N (0.0000, 0.5000, 0.0000)  2 Hg 2.14
N (0.5000, 0.0000, 0.0000)  2 Hg 2.14
F (0.0000, 0.0000, 0.5000)  2 Hg 2.14
F (0.5000, 0.5000, 0.5000)  4 F 3.02, 8 N 3.03

=====

5.
Density functional theory data (meta-GGA SCAN) for a crystal of ScAsPb3 relaxed with PBEsol.

Results
Size of the total moment in μB per formula unit: 0.04
DFT formation energy in eV/atom: 0.544

Cell: 5.4317 5.4317 5.4317 Å, 90.00 90.00 90.00°
Closest atoms and distances in Å follow each position.
Atoms (fractional coordinates):
Sc (0.0000, 0.0000, 0.0000)  12 Pb 3.84
As (0.5000, 0.5000, 0.5000)  6 Pb 2.72
Pb (0.0000, 0.5000, 0.5000)  2 As 2.72
Pb (0.5000, 0.0000, 0.5000)  2 As 2.72
Pb (0.5000, 0.5000, 0.0000)  2 As 2.72

=====

6.
Density functional theory data (meta-GGA SCAN) for a crystal of As2PW relaxed with PBEsol.

Results
Size of the total moment in μB per formula unit: 0.00
DFT formation energy in eV/atom: 0.650

Cell: 4.4293 4.4293 4.4293 Å, 120.09 120.09 89.85°
Closest atoms and distances in Å follow each position.
Atoms (fractional coordinates):
As (0.0000, 0.0000, 0.0000)  4 As 2.71, 4 P 2.71
As (0.7500, 0.2500, 0.5000)  4 As 2.71, 4 W 2.71
P (0.2500, 0.7500, 0.5000)  4 As 2.71, 4 W 2.71
W (0.5000, 0.5000, 0.0000)  4 As 2.71, 4 P 2.71

=====

7.
Density functional theory data (meta-GGA SCAN) for a crystal of LaMnMo4 relaxed with PBEsol.

Results
Size of the total moment in μB per formula unit: 2.98
DFT formation energy in eV/atom: 0.463

Cell: 5.3571 5.3571 5.3571 Å, 60.00 60.00 60.00°
Closest atoms and distances in Å follow each position.
Atoms (fractional coordinates):
La (0.0000, 0.0000, 0.0000)  12 Mo 3.14, 4 Mn 3.28
Mn (0.2500, 0.2500, 0.2500)  12 Mo 3.14, 4 La 3.28
Mo (0.1254, 0.6249, 0.6249)  6 Mo 2.68
Mo (0.6249, 0.1254, 0.6249)  6 Mo 2.68
Mo (0.6249, 0.6249, 0.1254)  6 Mo 2.68
Mo (0.6249, 0.6249, 0.6249)  6 Mo 2.68

=====

8.
Density functional theory data (meta-GGA SCAN) for a crystal of BaLiTa2Tc relaxed with PBEsol.

Results
Size of the total moment in μB per formula unit: 1.46
DFT formation energy in eV/atom: 1.968

Cell: 4.4631 4.4631 4.9457 Å, 90.00 90.00 90.00°
Closest atoms and distances in Å follow each position.
Atoms (fractional coordinates):
Ba (0.0000, 0.0000, 0.0000)  2 Li 2.47
Li (0.0000, 0.0000, 0.5000)  4 Ta 2.23, 2 Ba 2.47
Ta (0.0000, 0.5000, 0.5000)  2 Li 2.23
Ta (0.5000, 0.0000, 0.5000)  2 Li 2.23
Tc (0.5000, 0.5000, 0.0000)  4 Ba 3.16, 8 Ta 3.33

=====

9.
Density functional theory data (meta-GGA SCAN) for a crystal of CaSiAu3 relaxed with PBEsol.

Results
Energy relative to the elements, uncorrected in eV/f.u.: -2.515
Size of the total moment in μB per formula unit: 0.00

Cell: 4.7613 4.7613 4.7613 Å, 90.00 90.00 90.00°
Closest atoms and distances in Å follow each position.
Atoms (fractional coordinates):
Ca (0.0000, 0.0000, 0.0000)  12 Au 3.37
Si (0.5000, 0.5000, 0.5000)  6 Au 2.38
Au (0.0000, 0.5000, 0.5000)  2 Si 2.38
Au (0.5000, 0.0000, 0.5000)  2 Si 2.38
Au (0.5000, 0.5000, 0.0000)  2 Si 2.38

=====

10.
Density functional theory data (meta-GGA SCAN) for a crystal of AlRuPt2 relaxed with PBEsol.

Results
Size of the total moment in μB per formula unit: 0.00
DFT formation energy in eV/atom: -0.542

Cell: 4.7150 4.7150 4.7150 Å, 131.97 131.97 70.28°
Closest atoms and distances in Å follow each position.
Atoms (fractional coordinates):
Al (0.0000, 0.0000, 0.0000)  4 Ru 2.71, 8 Pt 2.72
Ru (0.5000, 0.5000, 0.0000)  4 Al 2.71, 8 Pt 2.72
Pt (0.2500, 0.7500, 0.5000)  4 Pt 2.71, 4 Ru 2.72, 4 Al 2.72
Pt (0.7500, 0.2500, 0.5000)  4 Pt 2.71, 4 Ru 2.72, 4 Al 2.72

=====

11.
Density functional theory data (meta-GGA SCAN) for a crystal of Te2PbNF relaxed with PBEsol.

Results
Energy relative to the elements, uncorrected in eV/f.u.: 2.973
Polymorph energy (0 for the lowest one) in eV/atom: 0.0000
Size of the total moment in μB per formula unit: 2.69

Cell: 4.7751 4.7751 4.9611 Å, 90.00 90.00 90.00°
Closest atoms and distances in Å follow each position.
Atoms (fractional coordinates):
Te (0.0000, 0.5000, 0.0000)  2 F 2.39
Te (0.5000, 0.0000, 0.0000)  2 F 2.39
Pb (0.0000, 0.0000, 0.5000)  4 N 3.38, 8 Te 3.44
N (0.5000, 0.5000, 0.5000)  2 F 2.48
F (0.5000, 0.5000, 0.0000)  4 Te 2.39, 2 N 2.48

=====

12.
Density functional theory data (meta-GGA SCAN) for a crystal of Ba2NF relaxed with PBEsol.

Results
Energy relative to the elements, uncorrected in eV/f.u.: -7.194
Polymorph energy (0 for the lowest one) in eV/atom: 0.1184
Size of the total moment in μB per formula unit: 0.00

Cell: 7.4110 7.4110 7.4110 Å, 131.98 131.98 70.25°
Closest atoms and distances in Å follow each position.
Atoms (fractional coordinates):
Ba (0.1109, 0.6250, 0.9859)  2 N 2.57, 2 F 2.67
Ba (0.3750, 0.3609, 0.4859)  2 N 2.57, 2 F 2.67
Ba (0.6391, 0.1250, 0.0141)  2 N 2.57, 2 F 2.67
Ba (0.8750, 0.8891, 0.5141)  2 N 2.57, 2 F 2.67
N (0.0000, 0.0000, 0.0000)  4 Ba 2.57
N (0.7500, 0.2500, 0.5000)  4 Ba 2.57
F (0.2500, 0.7500, 0.5000)  4 Ba 2.67
F (0.5000, 0.5000, 0.0000)  4 Ba 2.67

=====

> Number 6 is which compound?

As2PW